# 1
Material: BeGaCuIr
Method: DFT, PBE-GGA
State: relaxed

a = 4.121 Å, b = 4.121 Å, c = 4.121 Å
α = 60.00°, β = 60.00°, γ = 60.00°
Fractional positions:
Ir  0.250  0.250  0.250
Cu  0.750  0.750  0.750
Be  0.500  0.500  0.500
Ga  0.000  0.000  0.000

Output
VASP energy in eV/atom: -5.0838
Space group: F-43m
Distance to the lowest polymorph of the same formula in eV per atom: 0.000

---

# 2
Material: Rb2Tm
Method: DFT, PBE-GGA
State: relaxed

a = 13.069 Å, b = 13.069 Å, c = 13.069 Å
α = 60.00°, β = 60.00°, γ = 60.00°
Each line ends with the local moment (μB).
Fractional positions:
Rb  0.875  0.375  0.375  0.04
Rb  0.375  0.375  0.875  0.04
Rb  0.375  0.875  0.375  0.04
Tm  0.250  0.250  0.250  1.00
Tm  0.500  0.500  0.500  1.00
Rb  0.375  0.375  0.375  0.04

Output
VASP energy in eV/atom: -0.6829
Space group: Fd-3m

---

# 3
Material: ScCuSnTe3
Method: DFT, PBE-GGA
State: relaxed

a = 7.469 Å, b = 7.469 Å, c = 10.720 Å
α = 90.00°, β = 90.00°, γ = 32.36°
Fractional positions:
Sn  0.266  0.266  0.250
Te  0.417  0.417  0.750
Cu  0.031  0.031  0.750
Te  0.858  0.858  0.445
Te  0.583  0.583  0.250
Cu  0.969  0.969  0.250
Sn  0.734  0.734  0.750
Te  0.142  0.142  0.945
Te  0.142  0.142  0.555
Sc  0.500  0.500  0.000
Te  0.858  0.858  0.055
Sc  0.500  0.500  0.500

Output
VASP energy in eV/atom: -4.4972
Space group: Cmcm
Distance to the lowest polymorph of the same formula in eV per atom: 0.001